This record from Alexandria describes crystalline Sr6As2AuBr3 at its relaxed geometry. The functional is PBE-GGA.

Lattice parameters (Å, degrees): 7.833 13.716 8.064 90.00 108.90 90.00
Space group C2/m (No. 12)
Symmetry-distinct sites (fractional):
Sr1 0.233 0.000 0.219 (multiplicity 4)
Sr2 0.239 0.330 0.216 (multiplicity 8)
As1 0.000 0.165 0.000 (multiplicity 4)
Au1 0.000 0.500 0.000 (multiplicity 2)
Br1 0.000 0.000 0.500 (multiplicity 2)
Br2 0.000 0.325 0.500 (multiplicity 4)

Output
Uncorrected energy in eV per formula unit: -44.33
DOS(E_F) in states/eV per atom: 0.402
Crystal system: monoclinic
E_form (uncorrected) in eV/atom: -1.39